1.
Ba2MgTcC after structural relaxation. Source: Alexandria, functional PBE.

## Properties
DFT formation energy: 695 meV per atom
M_tot: 0.00 μB/f.u.
DFT total energy: -4.311 eV per atom

POSCAR file:
```
Ba2MgTcC
1.0
-0.8014 -5.7571 -1.9784
3.9291 -0.2922 -0.7413
0.9203 -2.0872 5.7007
Ba Mg Tc C
2 1 1 1
Cartesian
0.4601 -1.0436 2.8504
-0.4007 -2.8786 -0.9892
2.0240 -4.0682 1.4905
0.0000 0.0000 0.0000
1.9646 -0.1461 -0.3706
```

2.
BaLi2PrAs2 after structural relaxation. Source: Alexandria, functional PBE.

## Properties
DFT formation energy: -976 meV per atom
M_tot: 0.47 μB/f.u.
DFT total energy: -4.281 eV per atom

POSCAR file:
```
BaLi2PrAs2
1.0
4.4371 0.0000 0.0000
-2.2185 3.8426 0.0000
0.0000 0.0000 8.6335
As Li Pr Ba
2 2 1 1
Cartesian
2.2185 1.2809 6.2004
0.0000 2.5618 2.4331
0.0000 2.5618 6.2860
2.2185 1.2809 2.3475
0.0000 0.0000 4.3168
0.0000 0.0000 0.0000
```

3.
SrCu12Pd6 after structural relaxation. Source: Alexandria, functional PBE.

## Properties
DFT formation energy: 71 meV per atom
M_tot: 0.00 μB/f.u.
DFT total energy: -4.244 eV per atom

POSCAR file:
```
SrCu12Pd6
1.0
6.9903 0.0309 0.0436
-1.7028 6.7798 0.0436
-1.7028 -2.1934 6.4153
Cu Sr Pd
12 1 6
Cartesian
5.1781 3.1750 0.7696
1.9302 2.4863 0.6065
5.1781 -0.3199 3.2512
4.3023 2.8086 3.9552
1.7923 -1.1862 5.7329
-1.5935 1.4423 5.7329
1.6545 4.8642 3.9552
-0.7176 1.8088 2.5472
1.7923 5.8035 0.7696
1.9302 -0.2469 2.5472
1.6545 2.1311 5.8960
-1.5935 4.9372 3.2512
0.0000 0.0000 0.0000
3.2413 0.6135 4.6364
3.2413 4.1751 2.1073
3.7938 1.3251 1.8661
-0.2092 3.2922 4.6364
0.3433 4.0039 1.8661
0.3433 0.4422 4.3952
```